1.
The following is a DFT calculation (PBE) of a geometry-optimized TmUP structure.

Values from the calculation:
- formation enthalpy at 0 K (eV per atom) = -0.515
- size of the total moment (μB/f.u.) = 0.000
- theoretical density (g/cm3) = 11.252

Cell and atoms, written as POSCAR:
```
TmUP
1.0
3.287 0.000 0.000
0.000 22.366 0.000
0.000 0.000 3.517
Tm U P
4 4 4
Direct
0.000 0.187 0.250 Tm
0.000 0.813 0.750 Tm
0.500 0.313 0.750 Tm
0.500 0.687 0.250 Tm
0.000 0.040 0.250 U
0.000 0.960 0.750 U
0.500 0.460 0.750 U
0.500 0.540 0.250 U
0.000 0.385 0.250 P
0.000 0.615 0.750 P
0.500 0.115 0.750 P
0.500 0.885 0.250 P
```

=====

2.
The following is a DFT calculation (PBE) of a geometry-optimized YTm2UP4 structure.

Values from the calculation:
- formation enthalpy at 0 K (eV per atom) = -1.449
- size of the total moment (μB/f.u.) = 2.078
- theoretical density (g/cm3) = 7.494

Cell and atoms, written as POSCAR:
```
YTm2UP4
1.0
6.843 0.000 0.000
0.000 3.947 0.000
-2.259 0.000 6.471
Y Tm U P
1 2 1 4
Direct
0.000 0.000 0.000 Y
0.500 0.000 0.500 Tm
0.500 0.500 0.000 Tm
0.000 0.500 0.500 U
0.250 0.000 0.747 P
0.250 0.500 0.256 P
0.750 0.000 0.253 P
0.750 0.500 0.744 P
```

=====

3.
The following is a DFT calculation (PBE) of a geometry-optimized YTmU2P4 structure.

Values from the calculation:
- formation enthalpy at 0 K (eV per atom) = -1.293
- size of the total moment (μB/f.u.) = 4.629
- theoretical density (g/cm3) = 8.119

Cell and atoms, written as POSCAR:
```
YTmU2P4
1.0
6.818 0.000 0.000
0.000 3.937 0.000
-2.274 0.000 6.536
Y Tm U P
1 1 2 4
Direct
0.000 0.000 0.000 Y
0.500 0.500 0.000 Tm
0.000 0.500 0.500 U
0.500 0.000 0.500 U
0.251 0.000 0.748 P
0.253 0.500 0.254 P
0.747 0.500 0.746 P
0.749 0.000 0.252 P
```

=====

4.
The following is a DFT calculation (PBE) of a geometry-optimized Tm2ZrUP4 structure.

Values from the calculation:
- formation enthalpy at 0 K (eV per atom) = -1.382
- size of the total moment (μB/f.u.) = 2.120
- theoretical density (g/cm3) = 7.926

Cell and atoms, written as POSCAR:
```
Tm2ZrUP4
1.0
6.706 0.000 0.000
0.000 3.879 0.000
-2.217 0.000 6.370
Tm Zr U P
2 1 1 4
Direct
0.000 0.000 0.000 Tm
0.500 0.500 0.000 Tm
0.000 0.500 0.500 Zr
0.500 0.000 0.500 U
0.244 0.000 0.741 P
0.247 0.500 0.255 P
0.753 0.500 0.745 P
0.756 0.000 0.259 P
```

=====

5.
The following is a DFT calculation (PBE) of a geometry-optimized TmZr2UP4 structure.

Values from the calculation:
- formation enthalpy at 0 K (eV per atom) = -1.351
- size of the total moment (μB/f.u.) = 1.697
- theoretical density (g/cm3) = 7.458

Cell and atoms, written as POSCAR:
```
TmZr2UP4
1.0
6.631 0.000 0.000
0.000 3.822 0.000
-2.182 0.000 6.267
Tm Zr U P
1 2 1 4
Direct
0.000 0.000 0.000 Tm
0.000 0.500 0.500 Zr
0.500 0.000 0.500 Zr
0.500 0.500 0.000 U
0.248 0.000 0.741 P
0.255 0.500 0.258 P
0.745 0.500 0.742 P
0.752 0.000 0.259 P
```

=====

6.
The following is a DFT calculation (PBE) of a geometry-optimized TmZrU2P4 structure.

Values from the calculation:
- formation enthalpy at 0 K (eV per atom) = -1.249
- size of the total moment (μB/f.u.) = 4.160
- theoretical density (g/cm3) = 8.622

Cell and atoms, written as POSCAR:
```
TmZrU2P4
1.0
6.699 0.000 0.000
0.000 3.863 0.000
-2.222 0.000 6.401
Tm Zr U P
1 1 2 4
Direct
0.000 0.000 0.000 Tm
0.500 0.500 0.000 Zr
0.000 0.500 0.500 U
0.500 0.000 0.500 U
0.254 0.500 0.246 P
0.257 0.000 0.757 P
0.743 0.000 0.243 P
0.746 0.500 0.754 P
```

=====

7.
The following is a DFT calculation (PBE) of a geometry-optimized TmPW structure.

Values from the calculation:
- formation enthalpy at 0 K (eV per atom) = -0.581
- size of the total moment (μB/f.u.) = 0.000
- theoretical density (g/cm3) = 10.893

Cell and atoms, written as POSCAR:
```
TmPW
1.0
9.793 0.000 0.000
0.000 3.523 0.000
-1.778 0.000 6.782
Tm P W
4 4 4
Direct
0.108 0.000 0.312 Tm
0.392 0.500 0.688 Tm
0.608 0.500 0.312 Tm
0.892 0.000 0.688 Tm
0.179 0.000 0.726 P
0.321 0.500 0.274 P
0.679 0.500 0.726 P
0.821 0.000 0.274 P
0.134 0.500 0.948 W
0.366 0.000 0.052 W
0.634 0.000 0.948 W
0.866 0.500 0.052 W
```

=====

8.
The following is a DFT calculation (PBE) of a geometry-optimized YTm5P6 structure.

Values from the calculation:
- formation enthalpy at 0 K (eV per atom) = -1.610
- size of the total moment (μB/f.u.) = 0.000
- theoretical density (g/cm3) = 7.057

Cell and atoms, written as POSCAR:
```
YTm5P6
1.0
3.430 -5.939 0.000
3.430 5.939 0.000
-2.287 0.000 6.465
Y Tm P
1 5 6
Direct
0.000 0.000 0.000 Y
0.166 0.834 0.500 Tm
0.333 0.667 0.000 Tm
0.500 0.500 0.500 Tm
0.667 0.333 0.000 Tm
0.834 0.166 0.500 Tm
0.084 0.419 0.252 P
0.252 0.252 0.749 P
0.419 0.084 0.252 P
0.581 0.916 0.748 P
0.748 0.748 0.251 P
0.916 0.581 0.748 P
```

=====

Which formula does entry 1 have?
TmUP